# NaTcPd | the Alexandria database | PBE | optimized geometry
# - Total magnetic moment: 0.00 μB/atom
# - Energy relative to the elements: 0.98 eV/f.u.
# - Volume: 226.4 Å³ per cell
# - Energy: -5.30 eV per atom
# - Polymorph energy (0 for the lowest one): 265.2 meV/atom
data_NaTcPd
_cell_length_a 3.8048
_cell_length_b 7.8331
_cell_length_c 7.5955
_cell_angle_alpha 90.00
_cell_angle_beta 90.00
_cell_angle_gamma 90.00
_space_group_name_H-M_alt 'I m a 2'
_space_group_IT_number 46
loop_
_space_group_symop_operation_xyz
'x,y,z'
'-x,-y,z'
'-x+1/2,y,z'
'x+1/2,-y,z'
'x+1/2,y+1/2,z+1/2'
'-x+1/2,-y+1/2,z+1/2'
'-x,y+1/2,z+1/2'
'x,-y+1/2,z+1/2'
loop_
_atom_site_label
_atom_site_fract_x
_atom_site_fract_y
_atom_site_fract_z
Na1 0.2500 0.1517 0.0000
Tc1 0.2500 0.5873 0.8417
Pd1 0.2500 0.6212 0.1788

---

# NaTcPd | the Alexandria database | PBE | optimized geometry
# - Total magnetic moment: 0.00 μB/atom
# - Energy relative to the elements: 1.02 eV/f.u.
# - Volume: 113.3 Å³ per cell
# - Energy: -5.28 eV per atom
# - Polymorph energy (0 for the lowest one): 278.8 meV/atom
data_NaTcPd
_cell_length_a 3.6190
_cell_length_b 3.6190
_cell_length_c 8.6494
_cell_angle_alpha 90.00
_cell_angle_beta 90.00
_cell_angle_gamma 90.00
_space_group_name_H-M_alt 'P 4/n m m'
_space_group_IT_number 129
loop_
_space_group_symop_operation_xyz
'x,y,z'
'-x,-y,-z'
'-y+1/2,x,z'
'y+1/2,-x,-z'
'-x+1/2,-y+1/2,z'
'x+1/2,y+1/2,-z'
'y,-x+1/2,z'
'-y,x+1/2,-z'
'x+1/2,-y,-z'
'-x+1/2,y,z'
'-y,-x,-z'
'y,x,z'
'-x,y+1/2,-z'
'x,-y+1/2,z'
'y+1/2,x+1/2,-z'
'-y+1/2,-x+1/2,z'
loop_
_atom_site_label
_atom_site_fract_x
_atom_site_fract_y
_atom_site_fract_z
Na1 0.2500 0.2500 0.1253
Tc1 0.2500 0.7500 0.5000
Pd1 0.2500 0.2500 0.7347

---

# NaTcPd | the Alexandria database | PBE | optimized geometry
# - Total magnetic moment: 0.00 μB/atom
# - Energy relative to the elements: 0.91 eV/f.u.
# - Volume: 226.5 Å³ per cell
# - Energy: -5.32 eV per atom
# - Polymorph energy (0 for the lowest one): 240.0 meV/atom
data_NaTcPd
_cell_length_a 10.9695
_cell_length_b 3.6927
_cell_length_c 5.7477
_cell_angle_alpha 90.00
_cell_angle_beta 103.37
_cell_angle_gamma 90.00
_space_group_name_H-M_alt 'C 1 2/m 1'
_space_group_IT_number 12
loop_
_space_group_symop_operation_xyz
'x,y,z'
'-x,-y,-z'
'-x,y,-z'
'x,-y,z'
'x+1/2,y+1/2,z'
'-x+1/2,-y+1/2,-z'
'-x+1/2,y+1/2,-z'
'x+1/2,-y+1/2,z'
loop_
_atom_site_label
_atom_site_fract_x
_atom_site_fract_y
_atom_site_fract_z
Na1 0.0084 0.0000 0.2566
Tc1 0.2105 0.5000 0.0863
Pd1 0.1875 0.5000 0.5937

---

# NaTcPd | the Alexandria database | PBE | optimized geometry
# - Total magnetic moment: 0.00 μB/atom
# - Energy relative to the elements: 0.72 eV/f.u.
# - Volume: 100.4 Å³ per cell
# - Energy: -5.39 eV per atom
# - Polymorph energy (0 for the lowest one): 177.4 meV/atom
data_NaTcPd
_cell_length_a 2.7218
_cell_length_b 4.6834
_cell_length_c 8.0768
_cell_angle_alpha 77.38
_cell_angle_beta 87.41
_cell_angle_gamma 89.86
_space_group_name_H-M_alt 'P -1'
_space_group_IT_number 2
loop_
_space_group_symop_operation_xyz
'x,y,z'
'-x,-y,-z'
loop_
_atom_site_label
_atom_site_fract_x
_atom_site_fract_y
_atom_site_fract_z
Na1 0.2487 0.1269 0.3117
Tc1 0.3341 0.7300 0.0513
Pd1 0.2339 0.3893 0.6503

---

# NaTcPd | the Alexandria database | PBE | optimized geometry
# - Total magnetic moment: 0.00 μB/atom
# - Energy relative to the elements: 0.84 eV/f.u.
# - Volume: 224.3 Å³ per cell
# - Energy: -5.34 eV per atom
# - Polymorph energy (0 for the lowest one): 219.3 meV/atom
data_NaTcPd
_cell_length_a 15.5723
_cell_length_b 2.7489
_cell_length_c 5.5200
_cell_angle_alpha 90.00
_cell_angle_beta 108.30
_cell_angle_gamma 90.00
_space_group_name_H-M_alt 'C 1 m 1'
_space_group_IT_number 8
loop_
_space_group_symop_operation_xyz
'x,y,z'
'x,-y,z'
'x+1/2,y+1/2,z'
'x+1/2,-y+1/2,z'
loop_
_atom_site_label
_atom_site_fract_x
_atom_site_fract_y
_atom_site_fract_z
Na1 0.0000 0.0000 0.0000
Na2 0.1286 0.0000 0.6099
Tc1 0.3105 0.0000 0.0505
Tc2 0.4210 0.0000 0.4143
Pd1 0.1849 0.5000 0.1683
Pd2 0.3175 0.5000 0.6359

---

# NaTc2Pd | the Alexandria database | PBE | optimized geometry
# - Total magnetic moment: 0.50 μB/atom
# - Energy relative to the elements: 4.22 eV/f.u.
# - Volume: 250.9 Å³ per cell
# - Energy: -5.76 eV per atom
# - Polymorph energy (0 for the lowest one): 0.0 meV/atom
data_NaTc2Pd
_cell_length_a 6.3067
_cell_length_b 6.3067
_cell_length_c 6.3067
_cell_angle_alpha 90.00
_cell_angle_beta 90.00
_cell_angle_gamma 90.00
_space_group_name_H-M_alt 'F m -3 m'
_space_group_IT_number 225
_space_group_name_Hall '-F 4 2 3'
loop_
_atom_site_label
_atom_site_fract_x
_atom_site_fract_y
_atom_site_fract_z
Na1 0.0000 0.0000 0.0000
Tc1 0.2500 0.2500 0.2500
Pd1 0.0000 0.0000 0.5000

---

# NaTcPd | the Alexandria database | PBE | optimized geometry
# - Total magnetic moment: 0.00 μB/atom
# - Energy relative to the elements: 0.19 eV/f.u.
# - Volume: 215.5 Å³ per cell
# - Energy: -5.56 eV per atom
# - Polymorph energy (0 for the lowest one): 0.0 meV/atom
data_NaTcPd
_cell_length_a 4.0092
_cell_length_b 4.0086
_cell_length_c 13.4114
_cell_angle_alpha 90.00
_cell_angle_beta 90.27
_cell_angle_gamma 90.00
_space_group_name_H-M_alt 'C 1 2/m 1'
_space_group_IT_number 12
loop_
_space_group_symop_operation_xyz
'x,y,z'
'-x,-y,-z'
'-x,y,-z'
'x,-y,z'
'x+1/2,y+1/2,z'
'-x+1/2,-y+1/2,-z'
'-x+1/2,y+1/2,-z'
'x+1/2,-y+1/2,z'
loop_
_atom_site_label
_atom_site_fract_x
_atom_site_fract_y
_atom_site_fract_z
Na1 0.2440 0.0000 0.1231
Tc1 0.2490 0.0000 0.4369
Pd1 0.2469 0.5000 0.2910

---

# NaTcPd | the Alexandria database | PBE | optimized geometry
# - Total magnetic moment: 0.00 μB/atom
# - Energy relative to the elements: 0.71 eV/f.u.
# - Volume: 214.5 Å³ per cell
# - Energy: -5.39 eV per atom
# - Polymorph energy (0 for the lowest one): 174.4 meV/atom
data_NaTcPd
_cell_length_a 8.3540
_cell_length_b 9.3618
_cell_length_c 2.7427
_cell_angle_alpha 90.00
_cell_angle_beta 90.00
_cell_angle_gamma 90.00
_space_group_name_H-M_alt 'C m m m'
_space_group_IT_number 65
_space_group_name_Hall '-C 2 2'
loop_
_atom_site_label
_atom_site_fract_x
_atom_site_fract_y
_atom_site_fract_z
Na1 0.1647 0.0000 0.0000
Tc1 0.0000 0.3805 0.0000
Pd1 0.2500 0.2500 0.5000

---

# NaTcPd | the Alexandria database | PBE | optimized geometry
# - Total magnetic moment: 0.00 μB/atom
# - Energy relative to the elements: 0.87 eV/f.u.
# - Volume: 222.9 Å³ per cell
# - Energy: -5.34 eV per atom
# - Polymorph energy (0 for the lowest one): 227.4 meV/atom
data_NaTcPd
_cell_length_a 7.6855
_cell_length_b 3.6335
_cell_length_c 7.9831
_cell_angle_alpha 90.00
_cell_angle_beta 90.00
_cell_angle_gamma 90.00
_space_group_name_H-M_alt 'P n m a'
_space_group_IT_number 62
loop_
_space_group_symop_operation_xyz
'x,y,z'
'-x,-y,-z'
'-x+1/2,-y,z+1/2'
'x+1/2,y,-z+1/2'
'x+1/2,-y+1/2,-z+1/2'
'-x+1/2,y+1/2,z+1/2'
'-x,y+1/2,-z'
'x,-y+1/2,z'
loop_
_atom_site_label
_atom_site_fract_x
_atom_site_fract_y
_atom_site_fract_z
Na1 0.0343 0.2500 0.1411
Tc1 0.0889 0.2500 0.5385
Pd1 0.2389 0.7500 0.3247

---

# NaTcPd | the Alexandria database | PBE | optimized geometry
# - Total magnetic moment: 0.00 μB/atom
# - Energy relative to the elements: 0.82 eV/f.u.
# - Volume: 217.1 Å³ per cell
# - Energy: -5.35 eV per atom
# - Polymorph energy (0 for the lowest one): 212.5 meV/atom
data_NaTcPd
_cell_length_a 4.3599
_cell_length_b 13.7715
_cell_length_c 3.6166
_cell_angle_alpha 90.00
_cell_angle_beta 90.00
_cell_angle_gamma 90.00
_space_group_name_H-M_alt 'C m c m'
_space_group_IT_number 63
_space_group_name_Hall '-C 2c 2'
loop_
_atom_site_label
_atom_site_fract_x
_atom_site_fract_y
_atom_site_fract_z
Na1 0.0000 0.2465 0.2500
Tc1 0.0000 0.0515 0.7500
Pd1 0.0000 0.4191 0.7500

---

# Na3TcPd | the Alexandria database | PBE | optimized geometry
# - Total magnetic moment: 0.74 μB/atom
# - Energy relative to the elements: 7.24 eV/f.u.
# - Volume: 176.9 Å³ per cell
# - Energy: -2.46 eV per atom
# - Polymorph energy (0 for the lowest one): 364.9 meV/atom
data_Na3TcPd
_cell_length_a 5.6137
_cell_length_b 5.6137
_cell_length_c 5.6137
_cell_angle_alpha 90.00
_cell_angle_beta 90.00
_cell_angle_gamma 90.00
_space_group_name_H-M_alt 'P m -3 m'
_space_group_IT_number 221
_space_group_name_Hall '-P 4 2 3'
loop_
_atom_site_label
_atom_site_fract_x
_atom_site_fract_y
_atom_site_fract_z
Na1 0.0000 0.0000 0.5000
Tc1 0.0000 0.0000 0.0000
Pd1 0.5000 0.5000 0.5000

---

# NaTcPd | the Alexandria database | PBE | optimized geometry
# - Total magnetic moment: 0.00 μB/atom
# - Energy relative to the elements: 0.40 eV/f.u.
# - Volume: 114.1 Å³ per cell
# - Energy: -5.49 eV per atom
# - Polymorph energy (0 for the lowest one): 70.7 meV/atom
data_NaTcPd
_cell_length_a 2.8506
_cell_length_b 3.7364
_cell_length_c 10.7100
_cell_angle_alpha 90.00
_cell_angle_beta 91.03
_cell_angle_gamma 90.00
_space_group_name_H-M_alt 'P 1 21/m 1'
_space_group_IT_number 11
loop_
_space_group_symop_operation_xyz
'x,y,z'
'-x,-y,-z'
'-x,y+1/2,-z'
'x,-y+1/2,z'
loop_
_atom_site_label
_atom_site_fract_x
_atom_site_fract_y
_atom_site_fract_z
Na1 0.2385 0.2500 0.3691
Tc1 0.1963 0.2500 0.0533
Pd1 0.2706 0.2500 0.8005

---

What is the formula in the eighth record?
NaTcPd